1.
# K2PtCl2F4

An optimized crystal structure of K2PtCl2F4 (PBE-GGA, Alexandria).

a = 6.296 Å, b = 6.296 Å, c = 6.296 Å
α = 95.57°, β = 116.84°, γ = 116.84°
Fractional coordinates of all 9 atoms:
K1 0.500 0.750 0.250
K2 0.500 0.250 0.750
Pt1 0.000 0.000 0.000
Cl1 0.000 0.726 0.726
Cl2 0.000 0.274 0.274
F1 0.000 0.787 0.213
F2 0.574 0.787 0.787
F3 0.000 0.213 0.787
F4 0.426 0.213 0.213

Formation energy from raw total energies, eV per formula unit: -16.34
Energy, eV/f.u.: -35.8
D(E_F), states/eV/cell: 0.0
ρ, kg/m³: 3793

2.
# AlBiP3

An optimized crystal structure of AlBiP3 (PBE-GGA, Alexandria).

a = 4.707 Å, b = 4.707 Å, c = 4.707 Å
α = 90.00°, β = 90.00°, γ = 90.00°
Fractional coordinates of all 5 atoms:
P1 0.000 0.500 0.000
P2 0.000 0.000 0.500
P3 0.500 0.000 0.000
Bi1 0.500 0.500 0.500
Al1 0.000 0.000 0.000

Energy relative to the elements, eV/atom: 0.51
Relative energy among the computed polymorphs, meV/atom: 0
Energy, eV/f.u.: -21.3
D(E_F), states/eV/cell: 3.4
ρ, kg/m³: 5236

3.
# HfGa2Ag

An optimized crystal structure of HfGa2Ag (PBE-GGA, Alexandria).

a = 4.668 Å, b = 4.668 Å, c = 4.668 Å
α = 60.00°, β = 60.00°, γ = 60.00°
Fractional coordinates of all 4 atoms:
Hf1 0.500 0.500 0.500
Ga1 0.250 0.250 0.250
Ga2 0.750 0.750 0.750
Ag1 0.000 0.000 0.000

Energy relative to the elements, eV/atom: -0.07
Relative energy among the computed polymorphs, meV/atom: 225
Energy, eV/f.u.: -19.1
D(E_F), states/eV/cell: 3.6
ρ, kg/m³: 9830

4.
# Ba3ScZn

An optimized crystal structure of Ba3ScZn (PBE-GGA, Alexandria).

a = 6.361 Å, b = 6.361 Å, c = 6.361 Å
α = 90.00°, β = 90.00°, γ = 90.00°
Each line ends with the local moment (μB).
Fractional coordinates of all 5 atoms:
Sc1 0.500 0.500 0.500  0.68
Zn1 0.000 0.000 0.000  -0.03
Ba1 0.000 0.500 0.000  0.02
Ba2 0.000 0.000 0.500  0.03
Ba3 0.500 0.000 0.000  0.03

Energy relative to the elements, eV/atom: 0.39
Relative energy among the computed polymorphs, meV/atom: 0
Energy, eV/f.u.: -11.4
D(E_F), states/eV/cell: 9.9
ρ, kg/m³: 3370

5.
# SrLaMn2

An optimized crystal structure of SrLaMn2 (PBE-GGA, Alexandria).

a = 6.456 Å, b = 6.456 Å, c = 6.456 Å
α = 147.39°, β = 131.39°, γ = 59.77°
Each line ends with the local moment (μB).
Fractional coordinates of all 4 atoms:
La1 0.226 0.726 0.500  -0.28
Mn1 0.966 0.966 0.000  3.74
Mn2 0.787 0.287 0.500  3.64
Sr1 0.521 0.521 0.000  -0.07

Energy relative to the elements, eV/atom: 0.50
Relative energy among the computed polymorphs, meV/atom: 238
Energy, eV/f.u.: -22.9
D(E_F), states/eV/cell: 5.2
ρ, kg/m³: 5179

6.
# Sc4HgPdO

An optimized crystal structure of Sc4HgPdO (PBE-GGA, Alexandria).

a = 6.117 Å, b = 6.132 Å, c = 7.759 Å
α = 90.00°, β = 113.21°, γ = 90.00°
Fractional coordinates of all 14 atoms:
Sc1 0.935 0.250 0.871
Sc2 0.419 0.750 0.838
Sc3 0.065 0.750 0.129
Sc4 0.581 0.250 0.162
Sc5 0.500 0.500 0.500
Sc6 0.000 0.000 0.500
Sc7 0.500 0.000 0.500
Sc8 0.000 0.500 0.500
Hg1 0.613 0.750 0.226
Hg2 0.387 0.250 0.774
Pd1 0.119 0.250 0.237
Pd2 0.881 0.750 0.763
O1 0.254 0.750 0.509
O2 0.746 0.250 0.491

Formation energy from raw total energies, eV per formula unit: -8.18
Energy, eV/f.u.: -44.0
D(E_F), states/eV/cell: 18.8
ρ, kg/m³: 6243

7.
# Nd2Cu3Ni4

An optimized crystal structure of Nd2Cu3Ni4 (PBE-GGA, Alexandria).

a = 5.116 Å, b = 5.116 Å, c = 6.785 Å
α = 100.11°, β = 100.11°, γ = 122.30°
Fractional coordinates of all 9 atoms:
Nd1 0.646 0.646 0.292
Nd2 0.354 0.354 0.708
Cu1 0.500 0.000 0.000
Cu2 0.000 0.000 0.000
Cu3 0.000 0.500 0.000
Ni1 0.014 0.653 0.667
Ni2 0.653 0.014 0.667
Ni3 0.986 0.347 0.333
Ni4 0.347 0.986 0.333

Energy relative to the elements, eV/atom: -0.18
Energy, eV/f.u.: -46.6
D(E_F), states/eV/cell: 5.3
ρ, kg/m³: 8479

8.
# BaPdSe2Br

An optimized crystal structure of BaPdSe2Br (PBE-GGA, Alexandria).

a = 5.088 Å, b = 5.088 Å, c = 5.250 Å
α = 90.00°, β = 90.00°, γ = 90.00°
Fractional coordinates of all 5 atoms:
Br1 0.000 0.000 0.500
Se1 0.000 0.500 0.000
Se2 0.500 0.000 0.000
Ba1 0.500 0.500 0.500
Pd1 0.000 0.000 0.000

Formation energy from raw total energies, eV per formula unit: -4.69
Relative energy among the computed polymorphs, meV/atom: 0
Energy, eV/f.u.: -20.4
D(E_F), states/eV/cell: 3.9
ρ, kg/m³: 5882